# KBeCoW

A geometry-optimized KBeCoW structure (PBE, the Open Quantum Materials Database).

Structure (CIF):
```
data_KBeCoW
_chemical_formula_sum 'K4 Be4 Co4 W4'
_symmetry_space_group_name_H-M 'F -4 3 m'
_symmetry_Int_Tables_number 216
_symmetry_space_group_name_Hall 'F -4 2 3'
_cell_length_a 6.2344
_cell_length_b 6.2344
_cell_length_c 6.2344
_cell_angle_alpha 90.00
_cell_angle_beta 90.00
_cell_angle_gamma 90.00
loop_
_atom_site_label
_atom_site_fract_x
_atom_site_fract_y
_atom_site_fract_z
K1 0.0000 0.0000 0.0000
Be1 0.0000 0.0000 0.5000
Co1 0.2500 0.2500 0.7500
W1 0.2500 0.2500 0.2500
```

Results
The calculation puts the polymorph energy (0 for the lowest one) at 0.435 eV/atom. The density is 7974 kg/m3.

***

# KBeCoW

A geometry-optimized KBeCoW structure (PBE, the Open Quantum Materials Database).

Structure (CIF):
```
data_KBeCoW
_chemical_formula_sum 'K4 Be4 Co4 W4'
_symmetry_space_group_name_H-M 'F -4 3 m'
_symmetry_Int_Tables_number 216
_symmetry_space_group_name_Hall 'F -4 2 3'
_cell_length_a 6.3649
_cell_length_b 6.3649
_cell_length_c 6.3649
_cell_angle_alpha 90.00
_cell_angle_beta 90.00
_cell_angle_gamma 90.00
loop_
_atom_site_label
_atom_site_fract_x
_atom_site_fract_y
_atom_site_fract_z
K1 0.0000 0.0000 0.0000
Be1 0.2500 0.2500 0.7500
Co1 0.2500 0.2500 0.2500
W1 0.0000 0.0000 0.5000
```

Results
The calculation puts the polymorph energy (0 for the lowest one) at 0.061 eV/atom. The density is 7493 kg/m3.

***

# KBeCoW

A geometry-optimized KBeCoW structure (PBE, the Open Quantum Materials Database).

Structure (CIF):
```
data_KBeCoW
_chemical_formula_sum 'K4 Be4 Co4 W4'
_symmetry_space_group_name_H-M 'F -4 3 m'
_symmetry_Int_Tables_number 216
_symmetry_space_group_name_Hall 'F -4 2 3'
_cell_length_a 6.1553
_cell_length_b 6.1553
_cell_length_c 6.1553
_cell_angle_alpha 90.00
_cell_angle_beta 90.00
_cell_angle_gamma 90.00
loop_
_atom_site_label
_atom_site_fract_x
_atom_site_fract_y
_atom_site_fract_z
K1 0.0000 0.0000 0.0000
Be1 0.2500 0.2500 0.7500
Co1 0.0000 0.0000 0.5000
W1 0.2500 0.2500 0.2500
```

Results
The calculation puts the polymorph energy (0 for the lowest one) at 0.000 eV/atom. The density is 8285 kg/m3.

***

# LaBeCoSn

A geometry-optimized LaBeCoSn structure (PBE, the Open Quantum Materials Database).

Structure (CIF):
```
data_LaBeCoSn
_chemical_formula_sum 'La4 Be4 Co4 Sn4'
_symmetry_space_group_name_H-M 'F -4 3 m'
_symmetry_Int_Tables_number 216
_symmetry_space_group_name_Hall 'F -4 2 3'
_cell_length_a 6.6279
_cell_length_b 6.6279
_cell_length_c 6.6279
_cell_angle_alpha 90.00
_cell_angle_beta 90.00
_cell_angle_gamma 90.00
loop_
_atom_site_label
_atom_site_fract_x
_atom_site_fract_y
_atom_site_fract_z
La1 0.0000 0.0000 0.0000
Be1 0.2500 0.2500 0.7500
Co1 0.2500 0.2500 0.2500
Sn1 0.0000 0.0000 0.5000
```

Results
The calculation puts the polymorph energy (0 for the lowest one) at 0.000 eV/atom. The density is 7427 kg/m3.